Entry 1:
An optimized crystal structure of VInOsRu, computed with PBE-GGA.

It has space group F-43m (No. 216), with a = 6.252 Å, b = 6.252 Å, c = 6.252 Å, α = 90.00°, β = 90.00° and γ = 90.00°. The asymmetric unit holds V at (0.000, 0.000, 0.000), In at (0.000, 0.000, 0.500), Os at (0.250, 0.250, 0.250) and Ru at (0.250, 0.250, 0.750).

Its size of the total moment is 0.0 μB/f.u. Its formation energy is 0.018 eV per atom. As for the crystal system: cubic. The total energy is -129.2 eV/cell.

=====

Entry 2:
An optimized crystal structure of ZrInOsRu, computed with PBE-GGA.

It has space group F-43m (No. 216), with a = 6.513 Å, b = 6.513 Å, c = 6.513 Å, α = 90.00°, β = 90.00° and γ = 90.00°. The asymmetric unit holds Zr at (0.000, 0.000, 0.000), In at (0.000, 0.000, 0.500), Os at (0.250, 0.250, 0.750) and Ru at (0.250, 0.250, 0.250).

Its size of the total moment is 0.0 μB/f.u. Its formation energy is -0.195 eV per atom. As for the crystal system: cubic. The total energy is -130.3 eV/cell.

=====

Entry 3:
An optimized crystal structure of InOs2S, computed with PBE-GGA.

It has space group I-42d (No. 122), with a = 6.965 Å, b = 6.965 Å, c = 5.624 Å, α = 90.00°, β = 90.00° and γ = 90.00°. The asymmetric unit holds In at (0.000, 0.000, 0.000), Os at (0.166, 0.250, 0.625) and S at (0.000, 0.000, 0.500).

Its size of the total moment is 0.0 μB/f.u. As for the crystal system: tetragonal. The total energy is -107.6 eV/cell.

=====

Entry 4:
An optimized crystal structure of InOs2S, computed with PBE-GGA.

It has space group Fm-3m (No. 225), with a = 6.298 Å, b = 6.298 Å, c = 6.298 Å, α = 90.00°, β = 90.00° and γ = 90.00°. The asymmetric unit holds In at (0.000, 0.000, 0.000), Os at (0.250, 0.250, 0.250) and S at (0.000, 0.000, 0.500).

Its size of the total moment is 0.0 μB/f.u. As for the crystal system: cubic. The total energy is -102.3 eV/cell.

=====

Entry 5:
An optimized crystal structure of InOsS3, computed with PBE-GGA.

It has space group Pm-3m (No. 221), with a = 4.691 Å, b = 4.691 Å, c = 4.691 Å, α = 90.00°, β = 90.00° and γ = 90.00°. The asymmetric unit holds In at (0.000, 0.000, 0.000), Os at (0.500, 0.500, 0.500) and S at (0.000, 0.500, 0.500).

Its size of the total moment is 0.0 μB/f.u. As for the crystal system: cubic. The total energy is -25.0 eV/cell.

=====

Entry 6:
An optimized crystal structure of InOsSeS2, computed with PBE-GGA.

It has space group P4/mmm (No. 123), with a = 4.861 Å, b = 4.861 Å, c = 5.407 Å, α = 90.00°, β = 90.00° and γ = 90.00°. The asymmetric unit holds In at (0.000, 0.000, 0.000), Os at (0.500, 0.500, 0.500), Se at (0.000, 0.000, 0.500) and S at (0.000, 0.500, 0.000).

Its size of the total moment is 4.7 μB/f.u. As for the crystal system: tetragonal. The total energy is -18.0 eV/cell.